No. 1
VASP calculation (PBE) on a geometry-optimized TcAsCl2 structure.

abc: 4.5430 4.5430 3.2636
angles: 90.00 90.00 90.00
Fractional positions:
As1 0.0000 0.5000 0.5000
Tc1 0.5000 0.0000 0.5000
Cl1 0.0000 0.0000 0.0000
Cl2 0.5000 0.5000 0.0000

Summary:
Its space group is P4/mmm. As for the formation energy from raw total energies: 344 kJ/mol of formula units. Its distance to the lowest polymorph of the same formula is 1.1056 eV/atom.

No. 2
VASP calculation (PBE) on a geometry-optimized SiPt2W structure.

abc: 4.5662 4.5662 4.5662
angles: 125.84 125.84 80.15
Fractional positions:
Pt1 0.0000 0.0000 0.0000
Pt2 0.2500 0.7500 0.5000
Si1 0.5000 0.5000 0.0000
W1 0.7500 0.2500 0.5000

Summary:
Its space group is I-4m2. As for the formation energy from raw total energies: -21 kJ/mol of formula units.

No. 3
VASP calculation (PBE) on a geometry-optimized SmCdInGa structure.

abc: 5.1331 5.1331 5.1331
angles: 60.00 60.00 60.00
Fractional positions:
Cd1 0.5000 0.5000 0.5000
Ga1 0.0000 0.0000 0.0000
Sm1 0.2500 0.2500 0.2500
In1 0.7500 0.7500 0.7500

Summary:
Its space group is F-43m. Its distance to the lowest polymorph of the same formula is 0.1789 eV/atom. As for the formation energy: -238 meV per atom.

No. 4
VASP calculation (PBE) on a geometry-optimized Ba3Au2 structure.

abc: 8.2550 8.2550 9.0375
angles: 62.83 62.83 60.00
Fractional positions:
Au1 0.8381 0.8381 0.4856
Au2 0.3381 0.3381 0.9856
Au3 0.1619 0.1619 0.5144
Au4 0.6619 0.6619 0.0144
Ba1 0.0724 0.7500 0.7500
Ba2 0.7500 0.4276 0.7500
Ba3 0.4276 0.0724 0.7500
Ba4 0.2500 0.5724 0.2500
Ba5 0.5724 0.9276 0.2500
Ba6 0.9276 0.2500 0.2500

Summary:
Its space group is R-3c. Its distance to the lowest polymorph of the same formula is 0.0062 eV/atom. As for the formation energy: -597 meV per atom.

Number 1: size of the total moment 0.00 μB per formula unit. Number 2: size of the total moment 0.00 μB per formula unit. Number 3: size of the total moment 0.00 μB per formula unit. Number 4: size of the total moment 0.00 μB per formula unit.